Compound: K4BaAu
Source: Alexandria
Functional: PBE
Structure: optimized geometry

formation energy = 0.2455 eV/atom

a b c (Å): 11.144 11.144 11.144
angles (deg): 90.00 90.00 90.00
Space group F-43m (No. 216)
Unique sites:
K (0.124, 0.124, 0.124) x16
Ba (0.000, 0.000, 0.500) x4
Au (0.250, 0.250, 0.750) x4

***

Compound: BaZnIr2
Source: Alexandria
Functional: PBE
Structure: optimized geometry

formation energy = 0.2808 eV/atom

a b c (Å): 3.024 4.385 6.539
angles (deg): 90.00 101.02 90.00
Space group P2/m (No. 10)
Unique sites:
Ba (0.000, 0.000, 0.000) x1
Zn (0.500, 0.000, 0.500) x1
Ir (0.305, 0.500, 0.667) x2

***

Compound: La2Pr3NdP6
Source: Alexandria
Functional: PBE
Structure: optimized geometry

formation energy = -1.5395 eV/atom

a b c (Å): 7.314 12.666 7.314
angles (deg): 90.00 109.45 90.00
Space group C2/m (No. 12)
Unique sites:
La (0.000, 0.167, 0.000) x4
Pr (0.000, 0.000, 0.500) x2
Pr (0.000, 0.333, 0.500) x4
Nd (0.000, 0.500, 0.000) x2
P (0.247, 0.500, 0.749) x4
P (0.249, 0.334, 0.251) x8

***

Compound: Cs5Rb4Cd4
Source: Alexandria
Functional: PBE
Structure: optimized geometry

formation energy = 0.0003 eV/atom

a b c (Å): 17.552 17.552 5.619
angles (deg): 90.00 90.00 90.00
Space group I4/m (No. 87)
Unique sites:
Cs (0.000, 0.000, 0.000) x2
Cs (0.130, 0.811, 0.500) x8
Rb (0.094, 0.384, 0.500) x8
Cd (0.044, 0.237, 0.000) x8